# PBE-GGA ThSiRh, optimized geometry
data_ThSiRh
_chemical_formula_sum 'Th4 Si4 Rh4'
_cell_length_a 4.002
_cell_length_b 4.042
_cell_length_c 15.459
_cell_angle_alpha 90.00
_cell_angle_beta 90.00
_cell_angle_gamma 90.00
_symmetry_space_group_name_H-M 'I m m a'
_symmetry_Int_Tables_number 74
_symmetry_space_group_name_Hall '-I 2b 2'
loop_
_atom_site_label
_atom_site_fract_x
_atom_site_fract_y
_atom_site_fract_z
Th1 0.000 0.250 0.123
Si1 0.000 0.250 0.710
Rh1 0.000 0.250 0.558
# Formation energy from raw total energies (eV per atom): -0.843
# Final energy (Ha/atom): -0.2783
# Calculated volume (Å³/cell): 250.1

# PBE-GGA KTmTcN3, optimized geometry
data_KTmTcN3
_chemical_formula_sum 'K4 Tm4 Tc4 N12'
_cell_length_a 13.343
_cell_length_b 3.850
_cell_length_c 7.709
_cell_angle_alpha 90.00
_cell_angle_beta 104.18
_cell_angle_gamma 90.00
_symmetry_space_group_name_H-M 'C 1 2/m 1'
_symmetry_Int_Tables_number 12
loop_
_symmetry_equiv_pos_as_xyz
'x,y,z'
'-x,-y,-z'
'-x,y,-z'
'x,-y,z'
'x+1/2,y+1/2,z'
'-x+1/2,-y+1/2,-z'
'-x+1/2,y+1/2,-z'
'x+1/2,-y+1/2,z'
loop_
_atom_site_label
_atom_site_fract_x
_atom_site_fract_y
_atom_site_fract_z
K1 0.144 0.000 0.072
Tm1 0.162 0.000 0.565
Tc1 0.000 0.500 0.326
N1 0.012 0.000 0.325
N2 0.138 0.500 0.781
N3 0.164 0.500 0.384
# Formation energy from raw total energies (eV per atom): -0.499
# Final energy (Ha/atom): -0.2689
# Calculated volume (Å³/cell): 383.9

# PBE-GGA BaWSe2, optimized geometry
data_BaWSe2
_chemical_formula_sum 'Ba2 W2 Se4'
_cell_length_a 3.503
_cell_length_b 3.705
_cell_length_c 14.745
_cell_angle_alpha 90.00
_cell_angle_beta 90.00
_cell_angle_gamma 90.00
_symmetry_space_group_name_H-M 'I m m 2'
_symmetry_Int_Tables_number 44
loop_
_symmetry_equiv_pos_as_xyz
'x,y,z'
'-x,-y,z'
'-x,y,z'
'x,-y,z'
'x+1/2,y+1/2,z+1/2'
'-x+1/2,-y+1/2,z+1/2'
'-x+1/2,y+1/2,z+1/2'
'x+1/2,-y+1/2,z+1/2'
loop_
_atom_site_label
_atom_site_fract_x
_atom_site_fract_y
_atom_site_fract_z
Ba1 0.000 0.000 0.000
W1 0.000 0.500 0.252
Se1 0.000 0.000 0.628
Se2 0.000 0.500 0.824
# Formation energy from raw total energies (eV per atom): -0.299
# Final energy (Ha/atom): -0.2117
# Calculated volume (Å³/cell): 191.4

# PBE-GGA MnSbCl, optimized geometry
data_MnSbCl
_chemical_formula_sum 'Mn4 Sb4 Cl4'
_cell_length_a 6.876
_cell_length_b 6.876
_cell_length_c 6.876
_cell_angle_alpha 90.00
_cell_angle_beta 90.00
_cell_angle_gamma 90.00
_symmetry_space_group_name_H-M 'F -4 3 m'
_symmetry_Int_Tables_number 216
_symmetry_space_group_name_Hall 'F -4 2 3'
loop_
_atom_site_label
_atom_site_fract_x
_atom_site_fract_y
_atom_site_fract_z
Mn1 0.000 0.000 0.000
Sb1 0.250 0.250 0.250
Cl1 0.000 0.000 0.500
# Formation energy from raw total energies (eV per atom): 0.423
# Final energy (Ha/atom): -0.1699
# Calculated volume (Å³/cell): 325.1

# PBE-GGA SmMg2CdAu2, optimized geometry
data_SmMg2CdAu2
_chemical_formula_sum 'Sm1 Mg2 Cd1 Au2'
_cell_length_a 4.7547
_cell_length_b 4.7547
_cell_length_c 6.6051
_cell_angle_alpha 90.00
_cell_angle_beta 90.00
_cell_angle_gamma 120.00
_symmetry_space_group_name_H-M 'P -3 m 1'
_symmetry_Int_Tables_number 164
_symmetry_space_group_name_Hall '-P 3 2"'
loop_
_atom_site_label
_atom_site_fract_x
_atom_site_fract_y
_atom_site_fract_z
Sm1 0.0000 0.0000 0.0000
Mg1 0.3333 0.6667 0.6807
Cd1 0.0000 0.0000 0.5000
Au1 0.3333 0.6667 0.2396
# Formation energy from the elements (eV/atom): -0.57
# Final energy (Ha/atom): -0.1150
# Calculated volume (Å³/cell): 129.3

Going through the records in order, we get N(E_F) values of 9.78 7.40 6.70 8.68 3.28 states/eV/cell.